## Ce3CoRh (GGA-PBE)

Data for crystalline Ce3CoRh at its relaxed geometry.

Calculated values
As for the volume: 22.4 Å³/atom. The polymorph energy (0 for the lowest one) is 0.00 eV/f.u. The formation enthalpy at 0 K is -1.9 eV per formula unit. For the magnetic moment, the calculation gives 1.16 μB per formula unit. The value obtained for the uncorrected energy is -6.827 eV/atom.

abc: 3.6772 6.2937 9.9762
angles: 99.40 100.62 90.00
Last column: magnetic moment on the atom in μB.
Sites, in units of the cell vectors:
Co 0.7693 0.8615 0.5386  -0.09
Co 0.2307 0.1385 0.4614  -0.09
Ce 0.0032 0.7846 0.0064  0.34
Ce 0.8159 0.3926 0.6319  0.39
Ce 0.3572 0.9234 0.7144  0.30
Ce 0.9968 0.2154 0.9936  0.34
Ce 0.6428 0.0766 0.2856  0.30
Ce 0.1841 0.6074 0.3681  0.39
Rh 0.5773 0.5286 0.1547  -0.03
Rh 0.4227 0.4714 0.8453  -0.03